[1]
Density functional theory data (PBE-GGA) for a geometry-optimized Dy6Tm2Tl structure.

The formation enthalpy at 0 K comes out at -0.039 eV/atom. The value obtained for the magnetic moment is 0.00 μB/f.u. The energy above the most stable polymorph in this dataset comes out at 0.0 meV/atom. The density of states at the Fermi level is 27.43 states/eV/cell. As for the total energy: -4.364 eV/atom. The crystal system is tetragonal.

The structure belongs to space group P4_2/mnm (No. 136); the cell edges are 10.565, 10.565 and 4.868 Å and the angles 90.00°, 90.00° and 90.00°. The asymmetric unit holds Dy at (0.000, 0.335, 0.000), Dy at (0.162, 0.162, 0.500), Tm at (0.163, 0.837, 0.500) and Tl at (0.000, 0.000, 0.000).

---

[2]
Density functional theory data (PBE-GGA) for a geometry-optimized Dy3Tm4Tl2 structure.

The formation enthalpy at 0 K comes out at -0.154 eV/atom. The value obtained for the magnetic moment is 0.00 μB/f.u. The density of states at the Fermi level is 19.03 states/eV/cell. As for the total energy: -4.201 eV/atom. The crystal system is monoclinic.

The structure belongs to space group C2/m (No. 12); the cell edges are 11.950, 5.328 and 10.140 Å and the angles 90.00°, 125.75° and 90.00°. The asymmetric unit holds Dy at (0.000, 0.000, 0.000), Dy at (0.145, 0.500, 0.679), Tm at (0.097, 0.000, 0.428), Tm at (0.233, 0.500, 0.081) and Tl at (0.089, 0.500, 0.256).

---

[3]
Density functional theory data (PBE-GGA) for a geometry-optimized Dy12Tm7Tl structure.

The formation enthalpy at 0 K comes out at 0.184 eV/atom. The value obtained for the magnetic moment is 0.00 μB/f.u. The density of states at the Fermi level is 99.56 states/eV/cell. As for the total energy: -4.261 eV/atom. The crystal system is trigonal.

The structure belongs to space group R-3 (No. 148, hexagonal axes); the cell edges are 11.9167, 11.9167 and 15.3689 Å and the angles 90.00°, 90.00° and 120.00°. The asymmetric unit holds Dy at (0.0319, 0.4548, 0.2130), Dy at (0.0558, 0.5867, 0.5855), Tm at (0.0000, 0.0000, 0.0000), Tm at (0.0527, 0.1881, 0.2997) and Tl at (0.0000, 0.0000, 0.5000).

---

Question: Which value of formation enthalpy at 0 K does entry 1 give?
Answer: -0.039 eV/atom

---

What did the third record say?
Density functional theory data (PBE-GGA) for a geometry-optimized Dy12Tm7Tl structure.

The formation enthalpy at 0 K comes out at 0.184 eV/atom. The value obtained for the magnetic moment is 0.00 μB/f.u. The density of states at the Fermi level is 99.56 states/eV/cell. As for the total energy: -4.261 eV/atom. The crystal system is trigonal.

The structure belongs to space group R-3 (No. 148, hexagonal axes); the cell edges are 11.9167, 11.9167 and 15.3689 Å and the angles 90.00°, 90.00° and 120.00°. The asymmetric unit holds Dy at (0.0319, 0.4548, 0.2130), Dy at (0.0558, 0.5867, 0.5855), Tm at (0.0000, 0.0000, 0.0000), Tm at (0.0527, 0.1881, 0.2997) and Tl at (0.0000, 0.0000, 0.5000).

---

Question: Among the records above, which one has the lowest total energy?
Answer: Dy6Tm2Tl